## Al2Hg (PBE)

Data for a relaxed structure of Al2Hg.

It has space group Fm-3m (No. 225), with a = 6.323 Å, b = 6.323 Å, c = 6.323 Å, α = 90.00°, β = 90.00° and γ = 90.00°. The inequivalent atoms are Al at (0.250, 0.250, 0.250) and Hg at (0.000, 0.000, 0.000).

As for the crystal system: cubic. The value obtained for the volume is 21.06 Å³/atom. The calculation puts the density at 6.69 g cm⁻³. As for the excess energy over the best structure of this formula in the dataset: 0 meV/atom.